# CsGa2Pb PBE-GGA relaxed
# ΔH_f (0 K), meV/atom: 18
# Total energy, eV for the cell shown: -31.63
# Total magnetic moment, μB per cell: 0.00
data_CsGa2Pb
_chemical_formula_sum 'Cs3 Ga6 Pb3'
_space_group_name_H-M_alt 'R -3 m'
_space_group_IT_number 166
_space_group_name_Hall '-R 3 2"'
_cell_length_a 5.1730
_cell_length_b 5.1730
_cell_length_c 20.3007
_cell_angle_alpha 90.00
_cell_angle_beta 90.00
_cell_angle_gamma 120.00
loop_
_atom_site_label
_atom_site_type_symbol
_atom_site_fract_x
_atom_site_fract_y
_atom_site_fract_z
Cs1 Cs 0.0000 0.0000 0.0000
Ga1 Ga 0.0000 0.0000 0.1913
Pb1 Pb 0.0000 0.0000 0.5000